# 1
Entry from the Alexandria database: a relaxed Sb3As crystal (GGA-PBE).

Geometry as CIF:
```
data_Sb3As
_space_group_name_H-M_alt 'C m m m'
_space_group_IT_number 65
_space_group_name_Hall '-C 2 2'
_cell_length_a 3.681
_cell_length_b 5.330
_cell_length_c 10.327
_cell_angle_alpha 90.00
_cell_angle_beta 90.00
_cell_angle_gamma 90.00
loop_
_atom_site_label
_atom_site_type_symbol
_atom_site_fract_x
_atom_site_fract_y
_atom_site_fract_z
_atom_site_occupancy
Sb1 Sb 0.000 0.000 0.000 1
Sb2 Sb 0.000 0.500 0.269 1
As1 As 0.000 0.000 0.500 1
```

## Properties
For the spin magnetization, the calculation gives 0.000 μB per atom. The uncorrected formation energy comes out at 0.293 eV per atom. Its polymorph energy (0 for the lowest one) is 6.132 kcal/mol of atoms. As for the density of states at the Fermi level: 4.5 states/eV per cell.

# 2
Entry from the Alexandria database: a relaxed SbAs2 crystal (GGA-PBE).

Geometry as CIF:
```
data_SbAs2
_space_group_name_H-M_alt 'F m -3 m'
_space_group_IT_number 225
_space_group_name_Hall '-F 4 2 3'
_cell_length_a 6.794
_cell_length_b 6.794
_cell_length_c 6.794
_cell_angle_alpha 90.00
_cell_angle_beta 90.00
_cell_angle_gamma 90.00
loop_
_atom_site_label
_atom_site_type_symbol
_atom_site_fract_x
_atom_site_fract_y
_atom_site_fract_z
_atom_site_occupancy
Sb1 Sb 0.000 0.000 0.000 1
As1 As 0.250 0.250 0.250 1
```

## Properties
For the spin magnetization, the calculation gives 0.000 μB per atom. The uncorrected formation energy comes out at 0.499 eV per atom. Its polymorph energy (0 for the lowest one) is 10.873 kcal/mol of atoms. As for the density of states at the Fermi level: 13.3 states/eV per cell.

# 3
Entry from the Alexandria database: a relaxed SbAs crystal (GGA-PBE).

Geometry as CIF:
```
data_SbAs
_space_group_name_H-M_alt 'I m m 2'
_space_group_IT_number 44
_space_group_name_Hall 'I 2 -2'
_cell_length_a 3.947
_cell_length_b 14.953
_cell_length_c 6.131
_cell_angle_alpha 90.00
_cell_angle_beta 90.00
_cell_angle_gamma 90.00
loop_
_atom_site_label
_atom_site_type_symbol
_atom_site_fract_x
_atom_site_fract_y
_atom_site_fract_z
_atom_site_occupancy
Sb1 Sb 0.000 0.000 0.000 1
Sb2 Sb 0.000 0.303 0.758 1
As1 As 0.000 0.321 0.319 1
As2 As 0.000 0.500 0.802 1
```

## Properties
For the spin magnetization, the calculation gives 0.000 μB per atom. The uncorrected formation energy comes out at 0.120 eV per atom. Its polymorph energy (0 for the lowest one) is 3.055 kcal/mol of atoms. As for the density of states at the Fermi level: 3.0 states/eV per cell.

# 4
Entry from the Alexandria database: a relaxed SbAs3 crystal (GGA-PBE).

Geometry as CIF:
```
data_SbAs3
_space_group_name_H-M_alt 'I m m m'
_space_group_IT_number 71
_space_group_name_Hall '-I 2 2'
_cell_length_a 3.637
_cell_length_b 4.913
_cell_length_c 9.635
_cell_angle_alpha 90.00
_cell_angle_beta 90.00
_cell_angle_gamma 90.00
loop_
_atom_site_label
_atom_site_type_symbol
_atom_site_fract_x
_atom_site_fract_y
_atom_site_fract_z
_atom_site_occupancy
Sb1 Sb 0.000 0.000 0.000 1
As1 As 0.000 0.000 0.500 1
As2 As 0.000 0.500 0.214 1
```

## Properties
For the spin magnetization, the calculation gives 0.000 μB per atom. The uncorrected formation energy comes out at 0.354 eV per atom. Its polymorph energy (0 for the lowest one) is 8.062 kcal/mol of atoms. As for the density of states at the Fermi level: 4.3 states/eV per cell.

# 5
Entry from the Alexandria database: a relaxed Sb3As crystal (GGA-PBE).

Geometry as CIF:
```
data_Sb3As
_space_group_name_H-M_alt 'P 63/m m c'
_space_group_IT_number 194
_space_group_name_Hall '-P 6c 2c'
_cell_length_a 6.5545
_cell_length_b 6.5545
_cell_length_c 10.9435
_cell_angle_alpha 90.00
_cell_angle_beta 90.00
_cell_angle_gamma 120.00
loop_
_atom_site_label
_atom_site_type_symbol
_atom_site_fract_x
_atom_site_fract_y
_atom_site_fract_z
_atom_site_occupancy
Sb1 Sb 0.0000 0.5000 0.0000 1
Sb2 Sb 0.1608 0.3216 0.2500 1
As1 As 0.0000 0.0000 0.0000 1
As2 As 0.3333 0.6667 0.7500 1
```

## Properties
For the spin magnetization, the calculation gives 0.000 μB per atom. The uncorrected formation energy comes out at 0.359 eV per atom. Its polymorph energy (0 for the lowest one) is 7.652 kcal/mol of atoms. As for the density of states at the Fermi level: 9.3 states/eV per cell.

# 6
Entry from the Alexandria database: a relaxed SbAs crystal (GGA-PBE).

Geometry as CIF:
```
data_SbAs
_space_group_name_H-M_alt 'C m c m'
_space_group_IT_number 63
_space_group_name_Hall '-C 2c 2'
_cell_length_a 4.158
_cell_length_b 11.917
_cell_length_c 4.126
_cell_angle_alpha 90.00
_cell_angle_beta 90.00
_cell_angle_gamma 90.00
loop_
_atom_site_label
_atom_site_type_symbol
_atom_site_fract_x
_atom_site_fract_y
_atom_site_fract_z
_atom_site_occupancy
Sb1 Sb 0.000 0.133 0.250 1
As1 As 0.000 0.363 0.250 1
```

## Properties
For the spin magnetization, the calculation gives 0.000 μB per atom. The uncorrected formation energy comes out at 0.099 eV per atom. Its polymorph energy (0 for the lowest one) is 2.582 kcal/mol of atoms. As for the density of states at the Fermi level: 4.2 states/eV per cell.